Record 1
Zr3TaCr | PBE | relaxed

Cell and atoms, written as CIF:
```
data_Zr3TaCr
_cell_length_a 4.796
_cell_length_b 4.796
_cell_length_c 4.796
_cell_angle_alpha 90.00
_cell_angle_beta 90.00
_cell_angle_gamma 90.00
_symmetry_space_group_name_H-M 'P m -3 m'
_symmetry_Int_Tables_number 221
_symmetry_space_group_name_Hall '-P 4 2 3'
loop_
_atom_site_label
_atom_site_fract_x
_atom_site_fract_y
_atom_site_fract_z
Zr1 0.000 0.000 0.500
Ta1 0.500 0.500 0.500
Cr1 0.000 0.000 0.000
```

**Density of states at the Fermi level**: 10.8 states/eV per cell
**Formation energy**: 0.805 eV per atom
**Energy above the most stable polymorph in this dataset**: 0.000 eV per atom
**Total moment**: 0.000 μB per formula unit

=====

Record 2
ZrTa2Cr | PBE | relaxed

Cell and atoms, written as CIF:
```
data_ZrTa2Cr
_cell_length_a 5.521
_cell_length_b 9.337
_cell_length_c 2.912
_cell_angle_alpha 90.00
_cell_angle_beta 109.75
_cell_angle_gamma 90.00
_symmetry_space_group_name_H-M 'C 1 2/m 1'
_symmetry_Int_Tables_number 12
loop_
_symmetry_equiv_pos_as_xyz
'x,y,z'
'-x,-y,-z'
'-x,y,-z'
'x,-y,z'
'x+1/2,y+1/2,z'
'-x+1/2,-y+1/2,-z'
'-x+1/2,y+1/2,-z'
'x+1/2,-y+1/2,z'
loop_
_atom_site_label
_atom_site_fract_x
_atom_site_fract_y
_atom_site_fract_z
Zr1 0.000 0.000 0.000
Ta1 0.250 0.250 0.500
Cr1 0.000 0.500 0.000
```

**Density of states at the Fermi level**: 12.7 states/eV per cell
**Formation energy**: 0.267 eV per atom
**Energy above the most stable polymorph in this dataset**: 0.183 eV per atom
**Total moment**: 0.003 μB per formula unit

=====

Record 3
ZrTa4Cr | PBE | relaxed

Cell and atoms, written as CIF:
```
data_ZrTa4Cr
_cell_length_a 7.756
_cell_length_b 7.756
_cell_length_c 7.756
_cell_angle_alpha 90.00
_cell_angle_beta 90.00
_cell_angle_gamma 90.00
_symmetry_space_group_name_H-M 'F -4 3 m'
_symmetry_Int_Tables_number 216
_symmetry_space_group_name_Hall 'F -4 2 3'
loop_
_atom_site_label
_atom_site_fract_x
_atom_site_fract_y
_atom_site_fract_z
Zr1 0.000 0.000 0.000
Ta1 0.125 0.125 0.375
Cr1 0.250 0.250 0.750
```

**Density of states at the Fermi level**: 37.4 states/eV per cell
**Formation energy**: 0.372 eV per atom
**Total moment**: 1.127 μB per formula unit

=====

Record 4
Zr2Ta2Cr | PBE | relaxed

Cell and atoms, written as CIF:
```
data_Zr2Ta2Cr
_cell_length_a 6.417
_cell_length_b 6.417
_cell_length_c 4.845
_cell_angle_alpha 90.00
_cell_angle_beta 90.00
_cell_angle_gamma 90.00
_symmetry_space_group_name_H-M 'P 4/m b m'
_symmetry_Int_Tables_number 127
_symmetry_space_group_name_Hall '-P 4 2ab'
loop_
_atom_site_label
_atom_site_fract_x
_atom_site_fract_y
_atom_site_fract_z
Zr1 0.163 0.337 0.000
Ta1 0.156 0.656 0.500
Cr1 0.000 0.000 0.500
```

**Density of states at the Fermi level**: 10.8 states/eV per cell
**Formation energy**: 0.313 eV per atom
**Energy above the most stable polymorph in this dataset**: 0.000 eV per atom
**Total moment**: 0.003 μB per formula unit

=====

Record 5
Zr2TaCr | PBE | relaxed

Cell and atoms, written as CIF:
```
data_Zr2TaCr
_cell_length_a 3.1276
_cell_length_b 3.1276
_cell_length_c 27.1884
_cell_angle_alpha 90.00
_cell_angle_beta 90.00
_cell_angle_gamma 120.00
_symmetry_space_group_name_H-M 'R 3 m'
_symmetry_Int_Tables_number 160
_symmetry_space_group_name_Hall 'R 3 -2"'
loop_
_atom_site_label
_atom_site_fract_x
_atom_site_fract_y
_atom_site_fract_z
Zr1 0.0000 0.0000 0.0000
Zr2 0.0000 0.0000 0.2339
Ta1 0.0000 0.0000 0.4759
Cr1 0.0000 0.0000 0.7428
```

**Density of states at the Fermi level**: 13.9 states/eV per cell
**Formation energy**: 0.284 eV per atom
**Energy above the most stable polymorph in this dataset**: 0.191 eV per atom
**Total moment**: 0.000 μB per formula unit

=====

Record 6
ZrTa2Cr | PBE | relaxed

Cell and atoms, written as CIF:
```
data_ZrTa2Cr
_cell_length_a 6.530
_cell_length_b 6.530
_cell_length_c 6.530
_cell_angle_alpha 90.00
_cell_angle_beta 90.00
_cell_angle_gamma 90.00
_symmetry_space_group_name_H-M 'F m -3 m'
_symmetry_Int_Tables_number 225
_symmetry_space_group_name_Hall '-F 4 2 3'
loop_
_atom_site_label
_atom_site_fract_x
_atom_site_fract_y
_atom_site_fract_z
Zr1 0.000 0.000 0.000
Ta1 0.250 0.250 0.250
Cr1 0.000 0.000 0.500
```

**Density of states at the Fermi level**: 26.9 states/eV per cell
**Formation energy**: 0.236 eV per atom
**Energy above the most stable polymorph in this dataset**: 0.152 eV per atom
**Total moment**: 0.000 μB per formula unit

=====

Record 7
ZrTa2Cr | PBE | relaxed

Cell and atoms, written as CIF:
```
data_ZrTa2Cr
_cell_length_a 3.204
_cell_length_b 4.744
_cell_length_c 9.363
_cell_angle_alpha 90.00
_cell_angle_beta 90.00
_cell_angle_gamma 90.00
_symmetry_space_group_name_H-M 'I m m m'
_symmetry_Int_Tables_number 71
_symmetry_space_group_name_Hall '-I 2 2'
loop_
_atom_site_label
_atom_site_fract_x
_atom_site_fract_y
_atom_site_fract_z
Zr1 0.000 0.000 0.000
Ta1 0.000 0.500 0.225
Cr1 0.000 0.000 0.500
```

**Density of states at the Fermi level**: 10.4 states/eV per cell
**Formation energy**: 0.108 eV per atom
**Energy above the most stable polymorph in this dataset**: 0.024 eV per atom
**Total moment**: 0.003 μB per formula unit

=====

Record 8
ZrTa2Cr | PBE | relaxed

Cell and atoms, written as CIF:
```
data_ZrTa2Cr
_cell_length_a 3.227
_cell_length_b 4.748
_cell_length_c 9.217
_cell_angle_alpha 90.00
_cell_angle_beta 90.00
_cell_angle_gamma 90.00
_symmetry_space_group_name_H-M 'I m m 2'
_symmetry_Int_Tables_number 44
loop_
_symmetry_equiv_pos_as_xyz
'x,y,z'
'-x,-y,z'
'-x,y,z'
'x,-y,z'
'x+1/2,y+1/2,z+1/2'
'-x+1/2,-y+1/2,z+1/2'
'-x+1/2,y+1/2,z+1/2'
'x+1/2,-y+1/2,z+1/2'
loop_
_atom_site_label
_atom_site_fract_x
_atom_site_fract_y
_atom_site_fract_z
Zr1 0.000 0.000 0.000
Ta1 0.000 0.000 0.460
Ta2 0.000 0.500 0.230
Cr1 0.000 0.500 0.743
```

**Density of states at the Fermi level**: 11.2 states/eV per cell
**Formation energy**: 0.164 eV per atom
**Energy above the most stable polymorph in this dataset**: 0.080 eV per atom
**Total moment**: 0.000 μB per formula unit

=====

Record 9
ZrTa2Cr | PBE | relaxed

Cell and atoms, written as CIF:
```
data_ZrTa2Cr
_cell_length_a 4.639
_cell_length_b 4.639
_cell_length_c 6.541
_cell_angle_alpha 90.00
_cell_angle_beta 90.00
_cell_angle_gamma 90.00
_symmetry_space_group_name_H-M 'I -4 m 2'
_symmetry_Int_Tables_number 119
_symmetry_space_group_name_Hall 'I -4 -2'
loop_
_atom_site_label
_atom_site_fract_x
_atom_site_fract_y
_atom_site_fract_z
Zr1 0.000 0.000 0.000
Ta1 0.000 0.000 0.500
Ta2 0.000 0.500 0.750
Cr1 0.000 0.500 0.250
```

**Density of states at the Fermi level**: 14.1 states/eV per cell
**Formation energy**: 0.208 eV per atom
**Energy above the most stable polymorph in this dataset**: 0.124 eV per atom
**Total moment**: 0.049 μB per formula unit

=====

Record 10
Zr2TaCr | PBE | relaxed

Cell and atoms, written as CIF:
```
data_Zr2TaCr
_cell_length_a 3.303
_cell_length_b 4.932
_cell_length_c 9.141
_cell_angle_alpha 90.00
_cell_angle_beta 90.00
_cell_angle_gamma 90.00
_symmetry_space_group_name_H-M 'C m m m'
_symmetry_Int_Tables_number 65
_symmetry_space_group_name_Hall '-C 2 2'
loop_
_atom_site_label
_atom_site_fract_x
_atom_site_fract_y
_atom_site_fract_z
Zr1 0.000 0.000 0.223
Ta1 0.000 0.500 0.500
Cr1 0.000 0.500 0.000
```

**Density of states at the Fermi level**: 11.4 states/eV per cell
**Formation energy**: 0.274 eV per atom
**Energy above the most stable polymorph in this dataset**: 0.181 eV per atom
**Total moment**: 0.000 μB per formula unit

=====

Record 11
ZrTa2Cr2 | PBE | relaxed

Cell and atoms, written as CIF:
```
data_ZrTa2Cr2
_cell_length_a 7.389
_cell_length_b 7.389
_cell_length_c 3.151
_cell_angle_alpha 90.00
_cell_angle_beta 90.00
_cell_angle_gamma 90.00
_symmetry_space_group_name_H-M 'P 4/m b m'
_symmetry_Int_Tables_number 127
_symmetry_space_group_name_Hall '-P 4 2ab'
loop_
_atom_site_label
_atom_site_fract_x
_atom_site_fract_y
_atom_site_fract_z
Zr1 0.000 0.000 0.000
Ta1 0.150 0.350 0.500
Cr1 0.135 0.635 0.000
```

**Density of states at the Fermi level**: 10.7 states/eV per cell
**Formation energy**: 0.287 eV per atom
**Total moment**: 2.271 μB per formula unit

=====

Record 12
ZrTa2Cr | PBE | relaxed

Cell and atoms, written as CIF:
```
data_ZrTa2Cr
_cell_length_a 3.206
_cell_length_b 3.206
_cell_length_c 6.912
_cell_angle_alpha 90.00
_cell_angle_beta 90.00
_cell_angle_gamma 90.00
_symmetry_space_group_name_H-M 'P 4 m m'
_symmetry_Int_Tables_number 99
loop_
_symmetry_equiv_pos_as_xyz
'x,y,z'
'-y,x,z'
'-x,-y,z'
'y,-x,z'
'-x,y,z'
'y,x,z'
'x,-y,z'
'-y,-x,z'
loop_
_atom_site_label
_atom_site_fract_x
_atom_site_fract_y
_atom_site_fract_z
Zr1 0.000 0.000 0.000
Ta1 0.000 0.000 0.456
Ta2 0.500 0.500 0.713
Cr1 0.500 0.500 0.254
```

**Density of states at the Fermi level**: 5.5 states/eV per cell
**Formation energy**: 0.117 eV per atom
**Energy above the most stable polymorph in this dataset**: 0.034 eV per atom
**Total moment**: 0.807 μB per formula unit

=====

Record 13
Zr2TaCr | PBE | relaxed

Cell and atoms, written as CIF:
```
data_Zr2TaCr
_cell_length_a 4.073
_cell_length_b 4.073
_cell_length_c 9.483
_cell_angle_alpha 90.00
_cell_angle_beta 90.00
_cell_angle_gamma 90.00
_symmetry_space_group_name_H-M 'I -4 m 2'
_symmetry_Int_Tables_number 119
_symmetry_space_group_name_Hall 'I -4 -2'
loop_
_atom_site_label
_atom_site_fract_x
_atom_site_fract_y
_atom_site_fract_z
Zr1 0.000 0.000 0.000
Zr2 0.000 0.500 0.250
Ta1 0.000 0.000 0.500
Cr1 0.000 0.500 0.750
```

**Density of states at the Fermi level**: 12.2 states/eV per cell
**Formation energy**: 0.326 eV per atom
**Energy above the most stable polymorph in this dataset**: 0.233 eV per atom
**Total moment**: 2.953 μB per formula unit

=====

Record 14
Zr2TaCr | PBE | relaxed

Cell and atoms, written as CIF:
```
data_Zr2TaCr
_cell_length_a 3.305
_cell_length_b 3.305
_cell_length_c 6.973
_cell_angle_alpha 90.00
_cell_angle_beta 90.00
_cell_angle_gamma 90.00
_symmetry_space_group_name_H-M 'P 4/m m m'
_symmetry_Int_Tables_number 123
_symmetry_space_group_name_Hall '-P 4 2'
loop_
_atom_site_label
_atom_site_fract_x
_atom_site_fract_y
_atom_site_fract_z
Zr1 0.000 0.000 0.232
Ta1 0.500 0.500 0.500
Cr1 0.500 0.500 0.000
```

**Density of states at the Fermi level**: 6.9 states/eV per cell
**Formation energy**: 0.215 eV per atom
**Energy above the most stable polymorph in this dataset**: 0.122 eV per atom
**Total moment**: 1.949 μB per formula unit

=====

Record 15
ZrTa2Cr | PBE | relaxed

Cell and atoms, written as CIF:
```
data_ZrTa2Cr
_cell_length_a 3.947
_cell_length_b 3.947
_cell_length_c 9.476
_cell_angle_alpha 90.00
_cell_angle_beta 90.00
_cell_angle_gamma 90.00
_symmetry_space_group_name_H-M 'I 4/m m m'
_symmetry_Int_Tables_number 139
_symmetry_space_group_name_Hall '-I 4 2'
loop_
_atom_site_label
_atom_site_fract_x
_atom_site_fract_y
_atom_site_fract_z
Zr1 0.000 0.000 0.000
Ta1 0.000 0.500 0.250
Cr1 0.000 0.000 0.500
```

**Density of states at the Fermi level**: 9.3 states/eV per cell
**Formation energy**: 0.295 eV per atom
**Energy above the most stable polymorph in this dataset**: 0.211 eV per atom
**Total moment**: 2.405 μB per formula unit

=====

Record 16
Zr2TaCr | PBE | relaxed

Cell and atoms, written as CIF:
```
data_Zr2TaCr
_cell_length_a 3.079
_cell_length_b 4.255
_cell_length_c 5.961
_cell_angle_alpha 90.00
_cell_angle_beta 103.32
_cell_angle_gamma 90.00
_symmetry_space_group_name_H-M 'P 1 m 1'
_symmetry_Int_Tables_number 6
loop_
_symmetry_equiv_pos_as_xyz
'x,y,z'
'x,-y,z'
loop_
_atom_site_label
_atom_site_fract_x
_atom_site_fract_y
_atom_site_fract_z
Zr1 0.000 0.000 0.000
Zr2 0.295 0.500 0.700
Ta1 0.617 0.000 0.441
Cr1 0.797 0.500 0.240
```

**Density of states at the Fermi level**: 5.3 states/eV per cell
**Formation energy**: 0.219 eV per atom
**Energy above the most stable polymorph in this dataset**: 0.126 eV per atom
**Total moment**: 0.000 μB per formula unit

=====

Record 17
Zr2TaCr | PBE | relaxed

Cell and atoms, written as CIF:
```
data_Zr2TaCr
_cell_length_a 4.830
_cell_length_b 4.830
_cell_length_c 3.322
_cell_angle_alpha 90.00
_cell_angle_beta 90.00
_cell_angle_gamma 90.00
_symmetry_space_group_name_H-M 'P 4/m m m'
_symmetry_Int_Tables_number 123
_symmetry_space_group_name_Hall '-P 4 2'
loop_
_atom_site_label
_atom_site_fract_x
_atom_site_fract_y
_atom_site_fract_z
Zr1 0.000 0.500 0.000
Ta1 0.000 0.000 0.500
Cr1 0.500 0.500 0.500
```

**Density of states at the Fermi level**: 6.7 states/eV per cell
**Formation energy**: 0.243 eV per atom
**Energy above the most stable polymorph in this dataset**: 0.150 eV per atom
**Total moment**: 1.828 μB per formula unit

=====

Record 18
ZrTa2Cr | PBE | relaxed

Cell and atoms, written as CIF:
```
data_ZrTa2Cr
_cell_length_a 3.009
_cell_length_b 4.322
_cell_length_c 5.610
_cell_angle_alpha 90.00
_cell_angle_beta 102.48
_cell_angle_gamma 90.00
_symmetry_space_group_name_H-M 'P 1 2/m 1'
_symmetry_Int_Tables_number 10
loop_
_symmetry_equiv_pos_as_xyz
'x,y,z'
'-x,-y,-z'
'-x,y,-z'
'x,-y,z'
loop_
_atom_site_label
_atom_site_fract_x
_atom_site_fract_y
_atom_site_fract_z
Zr1 0.000 0.000 0.000
Ta1 0.296 0.500 0.724
Cr1 0.500 0.000 0.500
```

**Density of states at the Fermi level**: 5.0 states/eV per cell
**Formation energy**: 0.196 eV per atom
**Energy above the most stable polymorph in this dataset**: 0.112 eV per atom
**Total moment**: 0.000 μB per formula unit

=====

Record 19
Zr2TaCr | PBE | relaxed

Cell and atoms, written as CIF:
```
data_Zr2TaCr
_cell_length_a 6.656
_cell_length_b 6.656
_cell_length_c 6.656
_cell_angle_alpha 90.00
_cell_angle_beta 90.00
_cell_angle_gamma 90.00
_symmetry_space_group_name_H-M 'F -4 3 m'
_symmetry_Int_Tables_number 216
_symmetry_space_group_name_Hall 'F -4 2 3'
loop_
_atom_site_label
_atom_site_fract_x
_atom_site_fract_y
_atom_site_fract_z
Zr1 0.000 0.000 0.000
Zr2 0.250 0.250 0.250
Ta1 0.250 0.250 0.750
Cr1 0.000 0.000 0.500
```

**Density of states at the Fermi level**: 24.5 states/eV per cell
**Formation energy**: 0.271 eV per atom
**Energy above the most stable polymorph in this dataset**: 0.178 eV per atom
**Total moment**: 0.010 μB per formula unit

=====

Record 20
Zr2TaCr | PBE | relaxed

Cell and atoms, written as CIF:
```
data_Zr2TaCr
_cell_length_a 3.1452
_cell_length_b 3.1452
_cell_length_c 26.6701
_cell_angle_alpha 90.00
_cell_angle_beta 90.00
_cell_angle_gamma 120.00
_symmetry_space_group_name_H-M 'R -3 m'
_symmetry_Int_Tables_number 166
_symmetry_space_group_name_Hall '-R 3 2"'
loop_
_atom_site_label
_atom_site_fract_x
_atom_site_fract_y
_atom_site_fract_z
Zr1 0.0000 0.0000 0.2410
Ta1 0.0000 0.0000 0.0000
Cr1 0.0000 0.0000 0.5000
```

**Density of states at the Fermi level**: 17.8 states/eV per cell
**Formation energy**: 0.397 eV per atom
**Energy above the most stable polymorph in this dataset**: 0.304 eV per atom
**Total moment**: 0.152 μB per formula unit